[1]
The following is a DFT calculation (PBEsol) of crystalline TlCd3Au at its relaxed geometry.

Cell: 5.3176 5.3176 5.3176 Å, 90.00 90.00 90.00°
Atoms (fractional coordinates):
Au 0.5000 0.5000 0.5000
Tl 0.0000 0.0000 0.0000
Cd 0.0000 0.0000 0.5000
Cd 0.5000 0.0000 0.0000
Cd 0.0000 0.5000 0.0000

## Properties
For the volume, the calculation gives 150.4 Å³/f.u. Its raw total energy is -6.79 eV/f.u. The value obtained for the density of states at the Fermi level is 1.0 states/eV per cell. Its formation enthalpy at 0 K is 3.4 eV/f.u. As for the crystal system: cubic.

=====

[2]
The following is a DFT calculation (PBEsol) of crystalline TlCdAu2 at its relaxed geometry.

Cell: 3.4143 4.4814 5.6156 Å, 90.00 107.70 90.00°
Atoms (fractional coordinates):
Au 0.6669 0.5000 0.3338
Au 0.8292 0.0000 0.6585
Cd 0.1000 0.0000 0.2000
Tl 0.4064 0.5000 0.8129

## Properties
For the volume, the calculation gives 81.9 Å³/f.u. Its raw total energy is -11.87 eV/f.u. The value obtained for the density of states at the Fermi level is 1.1 states/eV per cell. Its formation enthalpy at 0 K is -0.2 eV/f.u. As for the crystal system: orthorhombic.